#one
# BPd2O (PBE, optimized geometry)
# - Spin magnetization: 0.0 Bohr magnetons per cell
data_BPd2O
_symmetry_space_group_name_H-M 'F m -3 m'
_symmetry_Int_Tables_number 225
_symmetry_space_group_name_Hall '-F 4 2 3'
_cell_length_a 5.5769
_cell_length_b 5.5769
_cell_length_c 5.5769
_cell_angle_alpha 90.00
_cell_angle_beta 90.00
_cell_angle_gamma 90.00
loop_
_atom_site_label
_atom_site_fract_x
_atom_site_fract_y
_atom_site_fract_z
_atom_site_occupancy
B1 0.0000 0.0000 0.0000 1
Pd1 0.2500 0.2500 0.2500 1
O1 0.0000 0.0000 0.5000 1

***

#two
# BPd2O (PBE, optimized geometry)
# - Spin magnetization: 0.0 Bohr magnetons per cell
data_BPd2O
_symmetry_space_group_name_H-M 'I -4 2 d'
_symmetry_Int_Tables_number 122
_symmetry_space_group_name_Hall 'I -4 2bw'
_cell_length_a 4.8228
_cell_length_b 4.8228
_cell_length_c 9.5756
_cell_angle_alpha 90.00
_cell_angle_beta 90.00
_cell_angle_gamma 90.00
loop_
_atom_site_label
_atom_site_fract_x
_atom_site_fract_y
_atom_site_fract_z
_atom_site_occupancy
B1 0.0000 0.0000 0.0000 1
Pd1 0.2247 0.2500 0.1250 1
O1 0.0000 0.0000 0.5000 1

***

The most stable arrangement is #two, and the next structure is 0.282 eV/atom less stable.

***

#one
# B3PdO (PBE, optimized geometry)
# - Spin magnetization: 0.0 Bohr magnetons per cell
data_B3PdO
_symmetry_space_group_name_H-M 'P m -3 m'
_symmetry_Int_Tables_number 221
_symmetry_space_group_name_Hall '-P 4 2 3'
_cell_length_a 3.5379
_cell_length_b 3.5379
_cell_length_c 3.5379
_cell_angle_alpha 90.00
_cell_angle_beta 90.00
_cell_angle_gamma 90.00
loop_
_atom_site_label
_atom_site_fract_x
_atom_site_fract_y
_atom_site_fract_z
_atom_site_occupancy
B1 0.0000 0.0000 0.5000 1
Pd1 0.5000 0.5000 0.5000 1
O1 0.0000 0.0000 0.0000 1

***

#two
# B3PdO (PBE, optimized geometry)
# - Spin magnetization: 1.0 Bohr magnetons per cell
data_B3PdO
_symmetry_space_group_name_H-M 'P m -3 m'
_symmetry_Int_Tables_number 221
_symmetry_space_group_name_Hall '-P 4 2 3'
_cell_length_a 4.0370
_cell_length_b 4.0370
_cell_length_c 4.0370
_cell_angle_alpha 90.00
_cell_angle_beta 90.00
_cell_angle_gamma 90.00
loop_
_atom_site_label
_atom_site_fract_x
_atom_site_fract_y
_atom_site_fract_z
_atom_site_occupancy
B1 0.0000 0.0000 0.5000 1
Pd1 0.0000 0.0000 0.0000 1
O1 0.5000 0.5000 0.5000 1

***

The most stable arrangement is #one, and the next structure is 0.172 eV/atom less stable.

***

#one
# Rb3BO3 (PBE, optimized geometry)
# - Spin magnetization: 0.0 Bohr magnetons per cell
data_Rb3BO3
_symmetry_space_group_name_H-M 'R 3 m'
_symmetry_Int_Tables_number 160
_symmetry_space_group_name_Hall 'R 3 -2"'
_cell_length_a 7.2190
_cell_length_b 7.2190
_cell_length_c 10.6987
_cell_angle_alpha 90.00
_cell_angle_beta 90.00
_cell_angle_gamma 120.00
loop_
_atom_site_label
_atom_site_fract_x
_atom_site_fract_y
_atom_site_fract_z
_atom_site_occupancy
Rb1 0.0027 0.5013 0.0000 1
B1 0.0000 0.0000 0.8807 1
O1 0.1082 0.5541 0.5409 1

***

#two
# Rb3BO3 (PBE, optimized geometry)
# - Spin magnetization: 0.0 Bohr magnetons per cell
data_Rb3BO3
_symmetry_space_group_name_H-M 'P 1 21/m 1'
_symmetry_Int_Tables_number 11
_cell_length_a 8.2473
_cell_length_b 5.4946
_cell_length_c 8.2488
_cell_angle_alpha 90.00
_cell_angle_beta 119.95
_cell_angle_gamma 90.00
loop_
_symmetry_equiv_pos_as_xyz
'x,y,z'
'-x,-y,-z'
'-x,y+1/2,-z'
'x,-y+1/2,z'
loop_
_atom_site_label
_atom_site_fract_x
_atom_site_fract_y
_atom_site_fract_z
_atom_site_occupancy
Rb1 0.0757 0.2500 0.1919 1
Rb2 0.3080 0.2500 0.8839 1
Rb3 0.3837 0.7500 0.5758 1
B1 0.3333 0.7500 0.1667 1
O1 0.1763 0.7500 0.1920 1
O2 0.3081 0.7500 0.9846 1
O3 0.4847 0.2500 0.6765 1

***

The most stable arrangement is #two, and the next structure is 0.154 eV/atom less stable.

***

#one
# RbB3O (PBE, optimized geometry)
# - Spin magnetization: 0.9 Bohr magnetons per cell
data_RbB3O
_symmetry_space_group_name_H-M 'P m -3 m'
_symmetry_Int_Tables_number 221
_symmetry_space_group_name_Hall '-P 4 2 3'
_cell_length_a 5.2469
_cell_length_b 5.2469
_cell_length_c 5.2469
_cell_angle_alpha 90.00
_cell_angle_beta 90.00
_cell_angle_gamma 90.00
loop_
_atom_site_label
_atom_site_fract_x
_atom_site_fract_y
_atom_site_fract_z
_atom_site_occupancy
Rb1 0.0000 0.0000 0.0000 1
B1 0.0000 0.0000 0.5000 1
O1 0.5000 0.5000 0.5000 1

***

#two
# RbB3O (PBE, optimized geometry)
# - Spin magnetization: 0.4 Bohr magnetons per cell
data_RbB3O
_symmetry_space_group_name_H-M 'P m -3 m'
_symmetry_Int_Tables_number 221
_symmetry_space_group_name_Hall '-P 4 2 3'
_cell_length_a 4.3503
_cell_length_b 4.3503
_cell_length_c 4.3503
_cell_angle_alpha 90.00
_cell_angle_beta 90.00
_cell_angle_gamma 90.00
loop_
_atom_site_label
_atom_site_fract_x
_atom_site_fract_y
_atom_site_fract_z
_atom_site_occupancy
Rb1 0.0000 0.0000 0.0000 1
B1 0.0000 0.5000 0.5000 1
O1 0.5000 0.5000 0.5000 1

***

The most stable arrangement is #two, and the next structure is 1.494 eV/atom less stable.

***

#one
# Re2BO (PBE, optimized geometry)
# - Spin magnetization: 0.0 Bohr magnetons per cell
data_Re2BO
_symmetry_space_group_name_H-M 'I -4 2 d'
_symmetry_Int_Tables_number 122
_symmetry_space_group_name_Hall 'I -4 2bw'
_cell_length_a 3.9908
_cell_length_b 3.9908
_cell_length_c 12.3957
_cell_angle_alpha 90.00
_cell_angle_beta 90.00
_cell_angle_gamma 90.00
loop_
_atom_site_label
_atom_site_fract_x
_atom_site_fract_y
_atom_site_fract_z
_atom_site_occupancy
Re1 0.2280 0.2500 0.1250 1
B1 0.0000 0.0000 0.5000 1
O1 0.0000 0.0000 0.0000 1

***

#two
# Re2BO (PBE, optimized geometry)
# - Spin magnetization: 0.0 Bohr magnetons per cell
data_Re2BO
_symmetry_space_group_name_H-M 'F m -3 m'
_symmetry_Int_Tables_number 225
_symmetry_space_group_name_Hall '-F 4 2 3'
_cell_length_a 5.5291
_cell_length_b 5.5291
_cell_length_c 5.5291
_cell_angle_alpha 90.00
_cell_angle_beta 90.00
_cell_angle_gamma 90.00
loop_
_atom_site_label
_atom_site_fract_x
_atom_site_fract_y
_atom_site_fract_z
_atom_site_occupancy
Re1 0.2500 0.2500 0.2500 1
B1 0.0000 0.0000 0.0000 1
O1 0.0000 0.0000 0.5000 1

***

The most stable arrangement is #one, and the next structure is 0.026 eV/atom less stable.

***

#one
# ReB3O (PBE, optimized geometry)
# - Spin magnetization: 2.3 Bohr magnetons per cell
data_ReB3O
_symmetry_space_group_name_H-M 'P m -3 m'
_symmetry_Int_Tables_number 221
_symmetry_space_group_name_Hall '-P 4 2 3'
_cell_length_a 4.1350
_cell_length_b 4.1350
_cell_length_c 4.1350
_cell_angle_alpha 90.00
_cell_angle_beta 90.00
_cell_angle_gamma 90.00
loop_
_atom_site_label
_atom_site_fract_x
_atom_site_fract_y
_atom_site_fract_z
_atom_site_occupancy
Re1 0.0000 0.0000 0.0000 1
B1 0.0000 0.0000 0.5000 1
O1 0.5000 0.5000 0.5000 1

***

#two
# ReB3O (PBE, optimized geometry)
# - Spin magnetization: 0.0 Bohr magnetons per cell
data_ReB3O
_symmetry_space_group_name_H-M 'P m -3 m'
_symmetry_Int_Tables_number 221
_symmetry_space_group_name_Hall '-P 4 2 3'
_cell_length_a 3.4823
_cell_length_b 3.4823
_cell_length_c 3.4823
_cell_angle_alpha 90.00
_cell_angle_beta 90.00
_cell_angle_gamma 90.00
loop_
_atom_site_label
_atom_site_fract_x
_atom_site_fract_y
_atom_site_fract_z
_atom_site_occupancy
Re1 0.0000 0.0000 0.0000 1
B1 0.0000 0.5000 0.5000 1
O1 0.5000 0.5000 0.5000 1

***

The most stable arrangement is #two, and the next structure is 0.504 eV/atom less stable.

***

#one
# B2RhO (PBE, optimized geometry)
# - Spin magnetization: 3.8 Bohr magnetons per cell
data_B2RhO
_symmetry_space_group_name_H-M 'F m -3 m'
_symmetry_Int_Tables_number 225
_symmetry_space_group_name_Hall '-F 4 2 3'
_cell_length_a 5.3037
_cell_length_b 5.3037
_cell_length_c 5.3037
_cell_angle_alpha 90.00
_cell_angle_beta 90.00
_cell_angle_gamma 90.00
loop_
_atom_site_label
_atom_site_fract_x
_atom_site_fract_y
_atom_site_fract_z
_atom_site_occupancy
B1 0.2500 0.2500 0.2500 1
Rh1 0.0000 0.0000 0.0000 1
O1 0.0000 0.0000 0.5000 1

***

#two
# B2RhO (PBE, optimized geometry)
# - Spin magnetization: 0.0 Bohr magnetons per cell
data_B2RhO
_symmetry_space_group_name_H-M 'I -4 2 d'
_symmetry_Int_Tables_number 122
_symmetry_space_group_name_Hall 'I -4 2bw'
_cell_length_a 4.7132
_cell_length_b 4.7132
_cell_length_c 6.5691
_cell_angle_alpha 90.00
_cell_angle_beta 90.00
_cell_angle_gamma 90.00
loop_
_atom_site_label
_atom_site_fract_x
_atom_site_fract_y
_atom_site_fract_z
_atom_site_occupancy
B1 0.1750 0.7500 0.1250 1
Rh1 0.0000 0.0000 0.5000 1
O1 0.0000 0.0000 0.0000 1

***

The most stable arrangement is #two, and the next structure is 1.460 eV/atom less stable.

***

#one
# BRhO2 (PBE, optimized geometry)
# - Spin magnetization: 0.0 Bohr magnetons per cell
data_BRhO2
_symmetry_space_group_name_H-M 'F m -3 m'
_symmetry_Int_Tables_number 225
_symmetry_space_group_name_Hall '-F 4 2 3'
_cell_length_a 5.2459
_cell_length_b 5.2459
_cell_length_c 5.2459
_cell_angle_alpha 90.00
_cell_angle_beta 90.00
_cell_angle_gamma 90.00
loop_
_atom_site_label
_atom_site_fract_x
_atom_site_fract_y
_atom_site_fract_z
_atom_site_occupancy
B1 0.0000 0.0000 0.0000 1
Rh1 0.0000 0.0000 0.5000 1
O1 0.2500 0.2500 0.2500 1

***

#two
# BRhO2 (PBE, optimized geometry)
# - Spin magnetization: 0.0 Bohr magnetons per cell
data_BRhO2
_symmetry_space_group_name_H-M 'R -3 m'
_symmetry_Int_Tables_number 166
_symmetry_space_group_name_Hall '-R 3 2"'
_cell_length_a 2.5463
_cell_length_b 2.5463
_cell_length_c 17.4703
_cell_angle_alpha 90.00
_cell_angle_beta 90.00
_cell_angle_gamma 120.00
loop_
_atom_site_label
_atom_site_fract_x
_atom_site_fract_y
_atom_site_fract_z
_atom_site_occupancy
B1 0.0000 0.0000 0.0000 1
Rh1 0.0000 0.0000 0.5000 1
O1 0.0000 0.0000 0.3828 1

***

The most stable arrangement is #two, and the next structure is 1.710 eV/atom less stable.